(1)
Ac2GaNi12P3 | PBE-GGA | optimized geometry

* formation enthalpy at 0 K: -3.0 kcal/mol of atoms
* crystal system: trigonal
* space group: No. 166
* VASP energy: -5.509 eV per atom

Cell lengths 7.3008, 7.3008, 7.3008 Å; angles 63.80, 63.80, 63.80 degrees
Sites, in units of the cell vectors:
Ac: 0.6165 0.6165 0.6165
Ac: 0.3835 0.3835 0.3835
Ga: 0.0000 0.0000 0.0000
Ni: 0.3341 0.3341 0.9064
Ni: 0.8846 0.8846 0.3668
Ni: 0.3668 0.8846 0.8846
Ni: 0.9064 0.3341 0.3341
Ni: 0.8846 0.3668 0.8846
Ni: 0.3341 0.9064 0.3341
Ni: 0.6659 0.6659 0.0936
Ni: 0.1154 0.1154 0.6332
Ni: 0.6332 0.1154 0.1154
Ni: 0.0936 0.6659 0.6659
Ni: 0.1154 0.6332 0.1154
Ni: 0.6659 0.0936 0.6659
P: 0.5000 0.0000 0.0000
P: 0.0000 0.5000 0.0000
P: 0.0000 0.0000 0.5000

---

(2)
Ac2Ga3NiPd4 | PBE-GGA | optimized geometry

* formation enthalpy at 0 K: -16.2 kcal/mol of atoms
* crystal system: tetragonal
* space group: No. 115
* VASP energy: -5.089 eV per atom

Cell lengths 4.4291, 4.4291, 10.4130 Å; angles 90.00, 90.00, 90.00 degrees
Sites, in units of the cell vectors:
Ac: 0.5000 0.0000 0.2592
Ac: 0.0000 0.5000 0.7408
Ga: 0.0000 0.0000 0.5000
Ga: 0.5000 0.0000 0.8764
Ga: 0.0000 0.5000 0.1236
Ni: 0.5000 0.5000 0.5000
Pd: 0.5000 0.5000 0.0000
Pd: 0.0000 0.0000 0.0000
Pd: 0.5000 0.0000 0.6305
Pd: 0.0000 0.5000 0.3695